No. 1
An optimized crystal structure of Sc5In2CuPt2, computed with PBE.

VASP energy ... -6.000 eV/atom
Energy of formation ... -669 meV/atom
DOS at the Fermi energy ... 15.5 states/eV/cell
Total moment ... 0.000 μB per cell
SG ... No. 127

abc: 11.2897 11.2897 3.2966
angles: 90.00 90.00 90.00
Fractional positions:
Sc 0.0000 0.5000 0.0000
Sc 0.0652 0.1930 0.0000
Sc 0.1930 0.9348 0.0000
Sc 0.3070 0.4348 0.0000
Sc 0.4348 0.6930 0.0000
Sc 0.5000 0.0000 0.0000
Sc 0.5652 0.3070 0.0000
Sc 0.6930 0.5652 0.0000
Sc 0.8070 0.0652 0.0000
Sc 0.9348 0.8070 0.0000
In 0.1745 0.6745 0.5000
In 0.3255 0.1745 0.5000
In 0.6745 0.8255 0.5000
In 0.8255 0.3255 0.5000
Cu 0.0000 0.0000 0.5000
Cu 0.5000 0.5000 0.5000
Pt 0.1329 0.3671 0.5000
Pt 0.3671 0.8671 0.5000
Pt 0.6329 0.1329 0.5000
Pt 0.8671 0.6329 0.5000

=====

No. 2
An optimized crystal structure of Sm2InCu2Pt5, computed with PBE.

VASP energy ... -5.849 eV/atom
Energy of formation ... -791 meV/atom
DOS at the Fermi energy ... 5.1 states/eV/cell
Total moment ... 0.000 μB per cell
SG ... No. 127

abc: 9.5565 9.5565 3.9327
angles: 90.00 90.00 90.00
Fractional positions:
Sm 0.1757 0.3243 0.0000
Sm 0.3243 0.8243 0.0000
Sm 0.6757 0.1757 0.0000
Sm 0.8243 0.6757 0.0000
In 0.0000 0.0000 0.0000
In 0.5000 0.5000 0.0000
Cu 0.1212 0.6212 0.0000
Cu 0.3788 0.1212 0.0000
Cu 0.6212 0.8788 0.0000
Cu 0.8788 0.3788 0.0000
Pt 0.0000 0.5000 0.5000
Pt 0.0680 0.7901 0.5000
Pt 0.2099 0.0680 0.5000
Pt 0.2901 0.5680 0.5000
Pt 0.4320 0.2901 0.5000
Pt 0.5000 0.0000 0.5000
Pt 0.5680 0.7099 0.5000
Pt 0.7099 0.4320 0.5000
Pt 0.7901 0.9320 0.5000
Pt 0.9320 0.2099 0.5000

=====

No. 3
An optimized crystal structure of Sr2In3CuPt4, computed with PBE.

VASP energy ... -4.580 eV/atom
Energy of formation ... -596 meV/atom
DOS at the Fermi energy ... 4.0 states/eV/cell
Total moment ... 0.000 μB per cell
SG ... No. 115

abc: 4.3327 4.3327 11.9351
angles: 90.00 90.00 90.00
Fractional positions:
Sr 0.0000 0.5000 0.2340
Sr 0.5000 0.0000 0.7660
In 0.0000 0.0000 0.0000
In 0.0000 0.5000 0.6362
In 0.5000 0.0000 0.3638
Cu 0.5000 0.5000 0.0000
Pt 0.0000 0.0000 0.5000
Pt 0.0000 0.5000 0.8631
Pt 0.5000 0.0000 0.1369
Pt 0.5000 0.5000 0.5000

=====

No. 4
An optimized crystal structure of Zn2In2CuPt5, computed with PBE.

VASP energy ... -4.541 eV/atom
Energy of formation ... -308 meV/atom
DOS at the Fermi energy ... 4.5 states/eV/cell
Total moment ... 0.000 μB per cell
SG ... No. 127

abc: 9.3186 9.3186 3.8183
angles: 90.00 90.00 90.00
Fractional positions:
Zn 0.1278 0.3722 0.0000
Zn 0.3722 0.8722 0.0000
Zn 0.6278 0.1278 0.0000
Zn 0.8722 0.6278 0.0000
In 0.1712 0.6712 0.0000
In 0.3288 0.1712 0.0000
In 0.6712 0.8288 0.0000
In 0.8288 0.3288 0.0000
Cu 0.0000 0.0000 0.0000
Cu 0.5000 0.5000 0.0000
Pt 0.0000 0.5000 0.5000
Pt 0.0859 0.1902 0.5000
Pt 0.1902 0.9141 0.5000
Pt 0.3098 0.4141 0.5000
Pt 0.4141 0.6902 0.5000
Pt 0.5000 0.0000 0.5000
Pt 0.5859 0.3098 0.5000
Pt 0.6902 0.5859 0.5000
Pt 0.8098 0.0859 0.5000
Pt 0.9141 0.8098 0.5000